# 1
TaPtW: optimized geometry, GGA-PBE.

a = 4.9862 Å, b = 4.9862 Å, c = 4.9862 Å
α = 140.20°, β = 140.20°, γ = 57.55°
With the nearest neighbours (Å) after each atom.
Element x y z (fractional)
Ta1 0.0000 0.0000 0.0000  5 W 2.79-2.95, 5 Pt 2.82-2.89
Pt1 0.3302 0.3302 0.0000  5 W 2.81-2.90, 5 Ta 2.82-2.89
W1 0.6623 0.6623 0.0000  5 Ta 2.79-2.95, 5 Pt 2.81-2.90

Results
Space-group type: No. 107
Offset from the most stable computed form, meV/atom: 236
Formation energy from the elements, meV per atom: -59

***

# 2
TaPtW: optimized geometry, GGA-PBE.

a = 4.6331 Å, b = 4.6331 Å, c = 2.6984 Å
α = 90.00°, β = 90.00°, γ = 120.00°
With the nearest neighbours (Å) after each atom.
Element x y z (fractional)
Ta1 0.0000 0.0000 0.0000  3 Pt 2.67, 2 Ta 2.70
Pt1 0.6667 0.3333 0.0000  3 Ta 2.67, 2 Pt 2.70
W1 0.3333 0.6667 0.5000  2 W 2.70, 6 Ta 3.00, 6 Pt 3.00

Results
Space-group type: No. 187
Offset from the most stable computed form, meV/atom: 247
Formation energy from the elements, meV per atom: -47

***

# 3
Ta2PtW: optimized geometry, GGA-PBE.

a = 5.1124 Å, b = 5.1124 Å, c = 5.0691 Å
α = 99.08°, β = 99.08°, γ = 31.46°
With the nearest neighbours (Å) after each atom.
Element x y z (fractional)
Ta1 0.0000 0.0000 0.0000  3 Ta 2.77-2.95, 3 Pt 2.84-2.87, 4 W 2.87-2.91
Ta2 0.2340 0.2340 0.7046  3 Ta 2.77-2.95, 3 W 2.82-2.90, 4 Pt 2.89-2.90
Pt1 0.7457 0.7457 0.2093  2 Pt 2.77, 7 Ta 2.84-2.90, 2 W 2.87
W1 0.4808 0.4808 0.4894  2 W 2.77, 7 Ta 2.82-2.91, 2 Pt 2.87

Results
Space-group type: No. 8
Formation energy from the elements, meV per atom: -137

***

# 4
TaPt2W: optimized geometry, GGA-PBE.

a = 4.9724 Å, b = 4.9724 Å, c = 2.7909 Å
α = 90.13°, β = 90.13°, γ = 111.84°
With the nearest neighbours (Å) after each atom.
Element x y z (fractional)
Ta1 0.0000 0.0000 0.0000  2 W 2.79, 2 Ta 2.79, 8 Pt 2.85
Pt1 0.0000 0.5000 0.5000  4 Pt 2.79, 4 Ta 2.85, 4 W 2.85
Pt2 0.5000 0.0000 0.5000  4 Pt 2.79, 4 Ta 2.85, 4 W 2.85
W1 0.5000 0.5000 0.0000  2 Ta 2.79, 2 W 2.79, 8 Pt 2.85

Results
Space-group type: No. 12
Formation energy from the elements, meV per atom: -426

***

# 5
TaPtW2: optimized geometry, GGA-PBE.

a = 4.5431 Å, b = 4.5431 Å, c = 4.5431 Å
α = 60.00°, β = 60.00°, γ = 60.00°
With the nearest neighbours (Å) after each atom.
Element x y z (fractional)
Ta1 0.0000 0.0000 0.0000  4 Pt 2.78, 4 W 2.78
Pt1 0.7500 0.7500 0.7500  4 W 2.78, 4 Ta 2.78
W1 0.2500 0.2500 0.2500  4 W 2.78, 4 Ta 2.78
W2 0.5000 0.5000 0.5000  4 W 2.78, 4 Pt 2.78

Results
Space-group type: No. 216
Offset from the most stable computed form, meV/atom: 176
Formation energy from the elements, meV per atom: 13

***

# 6
TaPtW2: optimized geometry, GGA-PBE.

a = 9.8178 Å, b = 9.8178 Å, c = 9.8178 Å
α = 16.49°, β = 16.49°, γ = 16.49°
With the nearest neighbours (Å) after each atom.
Element x y z (fractional)
Ta1 0.0000 0.0000 0.0000  6 Ta 2.82, 3 Pt 2.85, 3 W 3.02
Pt1 0.2527 0.2527 0.2527  6 Pt 2.82, 3 Ta 2.85, 3 W 2.85
W1 0.5053 0.5053 0.5053  9 W 2.82-2.94, 3 Pt 2.85
W2 0.7542 0.7542 0.7542  9 W 2.82-2.94, 3 Ta 3.02

Results
Space-group type: No. 160
Offset from the most stable computed form, meV/atom: 263
Formation energy from the elements, meV per atom: 100

***

# 7
Ta2PtW: optimized geometry, GGA-PBE.

a = 9.8867 Å, b = 9.8867 Å, c = 9.8867 Å
α = 16.56°, β = 16.56°, γ = 16.56°
With the nearest neighbours (Å) after each atom.
Element x y z (fractional)
Ta1 0.2473 0.2473 0.2473  6 Ta 2.85, 3 Pt 2.87, 3 W 3.01
Ta2 0.7527 0.7527 0.7527  6 Ta 2.85, 3 Pt 2.87, 3 W 3.01
Pt1 0.5000 0.5000 0.5000  6 Pt 2.85, 6 Ta 2.87
W1 0.0000 0.0000 0.0000  6 W 2.85, 6 Ta 3.01

Results
Space-group type: No. 166
Formation energy from the elements, meV per atom: -6

***

# 8
Ta2PtW: optimized geometry, GGA-PBE.

a = 4.4441 Å, b = 4.4441 Å, c = 3.4322 Å
α = 90.00°, β = 90.00°, γ = 90.00°
With the nearest neighbours (Å) after each atom.
Element x y z (fractional)
Ta1 0.0000 0.5000 0.0000  4 W 2.81, 4 Pt 2.81, 4 Ta 3.14
Ta2 0.5000 0.0000 0.0000  4 W 2.81, 4 Pt 2.81, 4 Ta 3.14
Pt1 0.0000 0.0000 0.5000  8 Ta 2.81, 4 W 3.14
W1 0.5000 0.5000 0.5000  8 Ta 2.81, 4 Pt 3.14

Results
Space-group type: No. 123
Formation energy from the elements, meV per atom: -293

***

# 9
TaPtW2: optimized geometry, GGA-PBE.

a = 5.0957 Å, b = 5.0957 Å, c = 2.7420 Å
α = 90.00°, β = 90.00°, γ = 112.51°
With the nearest neighbours (Å) after each atom.
Element x y z (fractional)
Ta1 0.0000 0.0000 0.0000  2 Ta 2.74, 2 Pt 2.83, 8 W 2.89
Pt1 0.5000 0.5000 0.0000  2 Pt 2.74, 2 Ta 2.83, 8 W 2.89
W1 0.0000 0.5000 0.5000  4 W 2.74-2.83, 4 Ta 2.89, 4 Pt 2.89
W2 0.5000 0.0000 0.5000  4 W 2.74-2.83, 4 Ta 2.89, 4 Pt 2.89

Results
Space-group type: No. 65
Offset from the most stable computed form, meV/atom: 177
Formation energy from the elements, meV per atom: 14

***

# 10
TaPtW2: optimized geometry, GGA-PBE.

a = 3.8891 Å, b = 3.9577 Å, c = 4.2685 Å
α = 90.00°, β = 90.00°, γ = 90.00°
With the nearest neighbours (Å) after each atom.
Element x y z (fractional)
Ta1 0.0000 0.0000 0.0000  4 Pt 2.77, 8 W 2.89-2.91
Pt1 0.5000 0.5000 0.0000  4 Ta 2.77, 8 W 2.89-2.91
W1 0.0000 0.5000 0.5000  4 W 2.77, 4 Pt 2.89, 4 Ta 2.91
W2 0.5000 0.0000 0.5000  4 W 2.77, 4 Ta 2.89, 4 Pt 2.91

Results
Space-group type: No. 47
Offset from the most stable computed form, meV/atom: 55
Formation energy from the elements, meV per atom: -108

***

# 11
Ta2PtW: optimized geometry, GGA-PBE.

a = 5.1762 Å, b = 5.1762 Å, c = 5.1762 Å
α = 141.03°, β = 127.73°, γ = 67.08°
With the nearest neighbours (Å) after each atom.
Element x y z (fractional)
Ta1 0.2442 0.2442 0.0000  2 W 2.72, 2 Pt 2.80, 4 Ta 2.86
Ta2 0.7558 0.7558 0.0000  2 W 2.72, 2 Pt 2.80, 4 Ta 2.86
Pt1 0.5000 0.0000 0.5000  8 Ta 2.80-3.10, 4 W 2.86
W1 0.0000 0.5000 0.5000  4 Ta 2.72, 4 Pt 2.86

Results
Space-group type: No. 71
Formation energy from the elements, meV per atom: -185

***

# 12
TaPtW2: optimized geometry, GGA-PBE.

a = 9.8275 Å, b = 9.8275 Å, c = 9.8275 Å
α = 16.49°, β = 16.49°, γ = 16.49°
With the nearest neighbours (Å) after each atom.
Element x y z (fractional)
Ta1 0.0000 0.0000 0.0000  6 Ta 2.82, 6 W 3.01
Pt1 0.5000 0.5000 0.5000  6 Pt 2.82, 6 W 2.83
W1 0.2462 0.2462 0.2462  6 W 2.82, 3 Pt 2.83, 3 Ta 3.01
W2 0.7538 0.7538 0.7538  6 W 2.82, 3 Pt 2.83, 3 Ta 3.01

Results
Space-group type: No. 166
Offset from the most stable computed form, meV/atom: 304
Formation energy from the elements, meV per atom: 140

***

# 13
TaPt2W: optimized geometry, GGA-PBE.

a = 9.6429 Å, b = 9.6429 Å, c = 9.6429 Å
α = 16.84°, β = 16.84°, γ = 16.84°
With the nearest neighbours (Å) after each atom.
Element x y z (fractional)
Ta1 0.0000 0.0000 0.0000  3 Pt 2.80, 6 Ta 2.82, 3 W 3.03
Pt1 0.4991 0.4991 0.4991  3 W 2.76, 9 Pt 2.82-2.94
Pt2 0.7465 0.7465 0.7465  3 Ta 2.80, 9 Pt 2.82-2.94
W1 0.2437 0.2437 0.2437  3 Pt 2.76, 6 W 2.82, 3 Ta 3.03

Results
Space-group type: No. 160
Formation energy from the elements, meV per atom: -159

***

# 14
Ta2PtW: optimized geometry, GGA-PBE.

a = 2.7750 Å, b = 2.7750 Å, c = 8.7945 Å
α = 90.00°, β = 90.00°, γ = 90.00°
With the nearest neighbours (Å) after each atom.
Element x y z (fractional)
Ta1 0.0000 0.0000 0.2379  4 Ta 2.78, 4 Pt 2.87, 4 W 3.03
Ta2 0.0000 0.0000 0.7621  4 Ta 2.78, 4 Pt 2.87, 4 W 3.03
Pt1 0.5000 0.5000 0.0000  4 Pt 2.78, 8 Ta 2.87
W1 0.5000 0.5000 0.5000  4 W 2.78, 8 Ta 3.03

Results
Space-group type: No. 123
Formation energy from the elements, meV per atom: -234

***

# 15
TaPtW2: optimized geometry, GGA-PBE.

a = 2.7580 Å, b = 4.2025 Å, c = 5.7555 Å
α = 90.00°, β = 97.31°, γ = 90.00°
With the nearest neighbours (Å) after each atom.
Element x y z (fractional)
Ta1 0.0000 0.0000 0.0000  2 Ta 2.76, 6 W 2.79-3.06, 4 Pt 2.87-2.88
Pt1 0.4341 0.5000 0.7552  2 Pt 2.76, 6 W 2.87-2.94, 4 Ta 2.87-2.88
W1 0.4635 0.5000 0.2593  4 W 2.65-2.76, 2 Ta 2.79, 2 Pt 2.87-2.89
W2 0.8658 0.0000 0.4886  4 W 2.65-2.76, 2 Ta 2.88-2.92, 4 Pt 2.94

Results
Space-group type: No. 6
Offset from the most stable computed form, meV/atom: 87
Formation energy from the elements, meV per atom: -76